MnBiPtO6 | PBE with a Hubbard U | relaxed

Properties
Total magnetic moment   3.96 μB/f.u.
DOS(E_F)   5.0 states/eV per cell
Raw total energy   -6.1366 eV/atom

Cell lengths 4.801, 4.801, 9.650 Å; angles 90.00, 90.00, 90.00 degrees
Site moments in Bohr magnetons follow the coordinates.
Sites, in units of the cell vectors:
O (0.822, 0.178, 0.503)  -0.04
O (0.178, 0.822, 0.503)  -0.04
O (0.800, 0.200, 0.823)  -0.03
O (0.322, 0.322, 0.003)  -0.04
Mn (0.500, 0.500, 0.165)  3.88
O (0.200, 0.800, 0.823)  -0.03
O (0.300, 0.300, 0.323)  -0.03
O (0.700, 0.700, 0.323)  -0.03
Pt (0.000, 0.000, 0.332)  0.07
Mn (0.000, 0.000, 0.665)  3.88
O (0.806, 0.194, 0.177)  0.01
Pt (0.500, 0.500, 0.832)  0.07
Bi (0.000, 0.000, 0.999)  0.03
O (0.678, 0.678, 0.003)  -0.04
Bi (0.500, 0.500, 0.499)  0.03
O (0.694, 0.694, 0.677)  0.01
O (0.306, 0.306, 0.677)  0.01
O (0.194, 0.806, 0.177)  0.01